Crystalline MnTl2VCl6 at its relaxed geometry. Source: Alexandria via LeMat-Bulk, functional PBE-GGA.

Lattice parameters (Å, degrees): 7.071 7.071 12.219 73.18 73.18 60.00
Sites, in units of the cell vectors:
Cl 0.210 0.210 0.875
Cl 0.141 0.619 0.622
Cl 0.381 0.859 0.378
Cl 0.619 0.141 0.622
Cl 0.294 0.790 0.125
Cl 0.859 0.381 0.378
Cl 0.381 0.381 0.378
Cl 0.619 0.619 0.622
Cl 0.790 0.790 0.125
Cl 0.706 0.210 0.875
Cl 0.210 0.706 0.875
Cl 0.790 0.294 0.125
Tl 0.293 0.293 0.122
Tl 0.707 0.707 0.878
Tl 0.876 0.876 0.373
Tl 0.124 0.124 0.627
V 0.582 0.582 0.255
V 0.418 0.418 0.745
Mn 0.000 0.000 0.000
Mn 0.500 0.500 0.500

Properties
**Formation energy without anion corrections**: -94.9 kJ/mol of atoms
**Symmetry**: R-3m (166)
**Total energy**: -4.393 eV per atom
**M_tot**: 5.00 μB per formula unit
**Theoretical density**: 4.844 g/cm³